Entry 1:
# Li3ErNp2Te6

A relaxed structure of Li3ErNp2Te6 (PBE, Alexandria).

CIF file:
```
data_Li3ErNp2Te6
_symmetry_space_group_name_H-M 'C 1 2/m 1'
_symmetry_Int_Tables_number 12
_symmetry_space_group_name_Hall '-C 2y'
_cell_length_a 7.558
_cell_length_b 13.091
_cell_length_c 7.482
_cell_angle_alpha 90.00
_cell_angle_beta 109.66
_cell_angle_gamma 90.00
loop_
_atom_site_label
_atom_site_type_symbol
_atom_site_fract_x
_atom_site_fract_y
_atom_site_fract_z
Li1 Li 0.000 0.000 0.000
Li2 Li 0.000 0.334 0.000
Er1 Er 0.000 0.500 0.500
Np1 Np 0.000 0.167 0.500
Te1 Te 0.243 0.500 0.243
Te2 Te 0.250 0.164 0.243
```

Output
formation energy from raw total energies	-0.944	eV/atom
volume	29.05	Å³ per atom
uncorrected energy	-5.530	eV per atom

***

Entry 2:
# Ac4GaSeI2

A relaxed structure of Ac4GaSeI2 (PBE, Alexandria).

CIF file:
```
data_Ac4GaSeI2
_symmetry_space_group_name_H-M 'P 1 2/m 1'
_symmetry_Int_Tables_number 10
_symmetry_space_group_name_Hall '-P 2y'
_cell_length_a 7.828
_cell_length_b 4.649
_cell_length_c 8.588
_cell_angle_alpha 90.00
_cell_angle_beta 108.80
_cell_angle_gamma 90.00
loop_
_atom_site_label
_atom_site_type_symbol
_atom_site_fract_x
_atom_site_fract_y
_atom_site_fract_z
Ac1 Ac 0.232 0.000 0.204
Ac2 Ac 0.261 0.500 0.797
Ga1 Ga 0.000 0.500 0.000
Se1 Se 0.500 0.000 0.000
I1 I 0.000 0.000 0.500
I2 I 0.500 0.500 0.500
```

Output
formation energy from raw total energies	-1.100	eV/atom
volume	36.98	Å³ per atom
uncorrected energy	-4.356	eV per atom

***

Entry 3:
# VCoNi3

A relaxed structure of VCoNi3 (PBE, Alexandria).

CIF file:
```
data_VCoNi3
_symmetry_space_group_name_H-M 'C 1 m 1'
_symmetry_Int_Tables_number 8
_symmetry_space_group_name_Hall 'C -2y'
_cell_length_a 11.899
_cell_length_b 3.866
_cell_length_c 4.891
_cell_angle_alpha 90.00
_cell_angle_beta 90.04
_cell_angle_gamma 90.00
loop_
_atom_site_label
_atom_site_type_symbol
_atom_site_fract_x
_atom_site_fract_y
_atom_site_fract_z
V1 V 0.000 0.000 0.000
V2 V 0.205 0.000 0.500
Co1 Co 0.014 0.000 0.500
Co2 Co 0.310 0.500 0.999
Ni1 Ni 0.113 0.500 0.251
Ni2 Ni 0.113 0.500 0.749
Ni3 Ni 0.204 0.000 0.000
Ni4 Ni 0.310 0.500 0.499
Ni5 Ni 0.404 0.000 0.247
Ni6 Ni 0.404 0.000 0.752
```

Output
energy above the lowest structure with this stoichiometry	0	meV per atom
volume	11.25	Å³ per atom
uncorrected energy	-6.776	eV per atom

***

Entry 4:
# Th2BiSe

A relaxed structure of Th2BiSe (PBE, Alexandria).

CIF file:
```
data_Th2BiSe
_symmetry_space_group_name_H-M 'P 4/m m m'
_symmetry_Int_Tables_number 123
_symmetry_space_group_name_Hall '-P 4 2'
_cell_length_a 3.806
_cell_length_b 3.806
_cell_length_c 7.612
_cell_angle_alpha 90.00
_cell_angle_beta 90.00
_cell_angle_gamma 90.00
loop_
_atom_site_label
_atom_site_type_symbol
_atom_site_fract_x
_atom_site_fract_y
_atom_site_fract_z
Th1 Th 0.000 0.000 0.244
Bi1 Bi 0.500 0.500 0.500
Se1 Se 0.500 0.500 0.000
```

Output
energy above the lowest structure with this stoichiometry	122	meV per atom
formation energy from raw total energies	-0.931	eV/atom
volume	27.56	Å³ per atom
uncorrected energy	-6.482	eV per atom

***

Entry 5:
# Pd3PtS

A relaxed structure of Pd3PtS (PBE, Alexandria).

CIF file:
```
data_Pd3PtS
_symmetry_space_group_name_H-M 'P m -3 m'
_symmetry_Int_Tables_number 221
_symmetry_space_group_name_Hall '-P 4 2 3'
_cell_length_a 4.872
_cell_length_b 4.872
_cell_length_c 4.872
_cell_angle_alpha 90.00
_cell_angle_beta 90.00
_cell_angle_gamma 90.00
loop_
_atom_site_label
_atom_site_type_symbol
_atom_site_fract_x
_atom_site_fract_y
_atom_site_fract_z
Pd1 Pd 0.000 0.000 0.500
Pt1 Pt 0.000 0.000 0.000
S1 S 0.500 0.500 0.500
```

Output
energy above the lowest structure with this stoichiometry	1016	meV per atom
formation energy from raw total energies	1.220	eV/atom
volume	23.13	Å³ per atom
uncorrected energy	-3.930	eV per atom

***

Entry 6:
# Zn3IrF

A relaxed structure of Zn3IrF (PBE, Alexandria).

CIF file:
```
data_Zn3IrF
_symmetry_space_group_name_H-M 'P m -3 m'
_symmetry_Int_Tables_number 221
_symmetry_space_group_name_Hall '-P 4 2 3'
_cell_length_a 4.144
_cell_length_b 4.144
_cell_length_c 4.144
_cell_angle_alpha 90.00
_cell_angle_beta 90.00
_cell_angle_gamma 90.00
loop_
_atom_site_label
_atom_site_type_symbol
_atom_site_fract_x
_atom_site_fract_y
_atom_site_fract_z
Zn1 Zn 0.000 0.000 0.500
Ir1 Ir 0.500 0.500 0.500
F1 F 0.000 0.000 0.000
```

Output
energy above the lowest structure with this stoichiometry	0	meV per atom
formation energy from raw total energies	-0.191	eV/atom
volume	14.23	Å³ per atom
uncorrected energy	-3.102	eV per atom

***

Entry 7:
# TlRh2

A relaxed structure of TlRh2 (PBE, Alexandria).

CIF file:
```
data_TlRh2
_symmetry_space_group_name_H-M 'C 1 m 1'
_symmetry_Int_Tables_number 8
_symmetry_space_group_name_Hall 'C -2y'
_cell_length_a 10.188
_cell_length_b 2.968
_cell_length_c 6.936
_cell_angle_alpha 90.00
_cell_angle_beta 99.28
_cell_angle_gamma 90.00
loop_
_atom_site_label
_atom_site_type_symbol
_atom_site_fract_x
_atom_site_fract_y
_atom_site_fract_z
Tl1 Tl 0.000 0.000 0.000
Tl2 Tl 0.229 0.500 0.350
Rh1 Rh 0.003 0.000 0.416
Rh2 Rh 0.145 0.500 0.721
Rh3 Rh 0.272 0.000 0.023
Rh4 Rh 0.371 0.000 0.671
```

Output
energy above the lowest structure with this stoichiometry	41	meV per atom
volume	17.25	Å³ per atom
uncorrected energy	-5.472	eV per atom

***

Entry 8:
# KPuAg2O6

A relaxed structure of KPuAg2O6 (PBE, Alexandria).

CIF file:
```
data_KPuAg2O6
_symmetry_space_group_name_H-M 'C 1 2/m 1'
_symmetry_Int_Tables_number 12
_symmetry_space_group_name_Hall '-C 2y'
_cell_length_a 8.173
_cell_length_b 7.680
_cell_length_c 4.987
_cell_angle_alpha 90.00
_cell_angle_beta 96.28
_cell_angle_gamma 90.00
loop_
_atom_site_label
_atom_site_type_symbol
_atom_site_fract_x
_atom_site_fract_y
_atom_site_fract_z
K1 K 0.000 0.000 0.000
Pu1 Pu 0.000 0.500 0.000
Ag1 Ag 0.250 0.250 0.500
O1 O 0.101 0.314 0.807
O2 O 0.215 0.500 0.312
```

Output
formation energy from raw total energies	-1.332	eV/atom
volume	15.56	Å³ per atom
uncorrected energy	-6.420	eV per atom